(1)
Compound: Y2IrPd
Source: the Open Quantum Materials Database
Functional: PBE
Structure: relaxed

Summary:
Energy above the most stable polymorph in this dataset: 30 meV per atom

Cell: 4.4552 5.5994 7.0551 Å, 90.00 90.00 90.00°
Positions (direct):
Ir1 0.0000 0.5981 0.4571
Ir2 0.0000 0.4019 0.9571
Pd1 0.5000 0.0951 0.0390
Pd2 0.5000 0.9049 0.5390
Y1 0.5000 0.6036 0.1824
Y2 0.0000 0.1176 0.3215
Y3 0.5000 0.3964 0.6824
Y4 0.0000 0.8824 0.8215

---

(2)
Compound: Y2IrPd
Source: the Open Quantum Materials Database
Functional: PBE
Structure: relaxed

Summary:
Energy above the most stable polymorph in this dataset: 0 meV per atom

Cell: 4.9081 6.9215 14.7237 Å, 90.00 90.00 90.00°
Positions (direct):
Ir1 0.0000 0.0000 0.0000
Ir2 0.4999 0.5000 0.1667
Ir3 0.9999 0.0000 0.3333
Ir4 0.5000 0.5000 0.5000
Ir5 0.0001 0.0000 0.6667
Ir6 0.5001 0.5000 0.8333
Pd1 0.0000 0.5000 0.0000
Pd2 0.4999 0.0000 0.1667
Pd3 0.0000 0.5000 0.3333
Pd4 0.5000 0.0000 0.5000
Pd5 0.0000 0.5000 0.6667
Pd6 0.5001 0.0000 0.8333
Y1 0.5000 0.2500 0.0000
Y2 0.5000 0.7500 0.0000
Y3 0.0000 0.2500 0.1667
Y4 0.0000 0.7500 0.1667
Y5 0.4999 0.2500 0.3333
Y6 0.4999 0.7500 0.3333
Y7 0.0000 0.2500 0.5000
Y8 0.0000 0.7500 0.5000
Y9 0.5001 0.2500 0.6667
Y10 0.5001 0.7500 0.6667
Y11 0.0000 0.2500 0.8333
Y12 0.0000 0.7500 0.8333

---

(3)
Compound: Y2IrPd
Source: the Open Quantum Materials Database
Functional: PBE
Structure: relaxed

Summary:
Energy above the most stable polymorph in this dataset: 0 meV per atom

Cell: 6.9249 4.9068 9.8171 Å, 90.00 90.00 90.00°
Positions (direct):
Ir1 0.7500 0.2500 0.1248
Ir2 0.2500 0.7500 0.3752
Ir3 0.7500 0.2500 0.6248
Ir4 0.2500 0.7500 0.8752
Pd1 0.2501 0.2500 0.1245
Pd2 0.7501 0.7500 0.3755
Pd3 0.2499 0.2500 0.6245
Pd4 0.7499 0.7500 0.8755
Y1 0.0000 0.7500 0.1251
Y2 0.5000 0.7500 0.1252
Y3 0.0000 0.2500 0.3748
Y4 0.5001 0.2500 0.3749
Y5 0.4999 0.7500 0.6251
Y6 0.0000 0.7500 0.6252
Y7 0.5000 0.2500 0.8748
Y8 0.0000 0.2500 0.8749

---

(4)
Compound: YIrPd2
Source: the Open Quantum Materials Database
Functional: PBE
Structure: relaxed

Summary:
DFT total energy: -27.2 eV per cell

Cell: 4.6366 4.6366 4.6366 Å, 60.00 60.00 60.00°
Positions (direct):
Ir1 0.5000 0.5000 0.5000
Pd1 0.0000 0.0000 0.0000
Pd2 0.2500 0.2500 0.2500
Y1 0.7500 0.7500 0.7500

---

(5)
Compound: ZnIrPd2
Source: the Open Quantum Materials Database
Functional: PBE
Structure: relaxed

Summary:
DFT total energy: -20.5 eV per cell

Cell: 4.3876 4.3876 4.3876 Å, 60.00 60.00 60.00°
Site moments in Bohr magnetons follow the coordinates.
Positions (direct):
Ir1 0.5000 0.5000 0.5000  0.61
Pd1 0.0000 0.0000 0.0000  0.18
Pd2 0.7500 0.7500 0.7500  0.24
Zn1 0.2500 0.2500 0.2500  -0.01

---

(6)
Compound: Zn2IrPd
Source: the Open Quantum Materials Database
Functional: PBE
Structure: relaxed

Summary:
DFT total energy: -16.9 eV per cell

Cell: 4.3606 4.3606 4.3606 Å, 60.00 60.00 60.00°
Positions (direct):
Ir1 0.5000 0.5000 0.5000
Pd1 0.7500 0.7500 0.7500
Zn1 0.0000 0.0000 0.0000
Zn2 0.2500 0.2500 0.2500

---

(7)
Compound: Zn6IrPd
Source: the Open Quantum Materials Database
Functional: PBE
Structure: relaxed

Summary:
DFT total energy: -23.9 eV per cell

Cell: 4.3512 5.3448 4.8736 Å, 90.00 90.00 90.00°
Positions (direct):
Ir1 0.5000 0.0000 0.3330
Pd1 0.0000 0.5000 0.6680
Zn1 0.0000 0.2522 0.1605
Zn2 0.0000 0.7478 0.1605
Zn3 0.5000 0.5000 0.3561
Zn4 0.0000 0.0000 0.6398
Zn5 0.5000 0.2426 0.8411
Zn6 0.5000 0.7574 0.8411

---

(8)
Compound: ZrIrPd2
Source: the Open Quantum Materials Database
Functional: PBE
Structure: relaxed

Summary:
DFT total energy: -29.6 eV per cell

Cell: 4.5465 4.5465 4.5465 Å, 60.00 60.00 60.00°
Positions (direct):
Ir1 0.2500 0.2500 0.2500
Pd1 0.0000 0.0000 0.0000
Pd2 0.7500 0.7500 0.7500
Zr1 0.5000 0.5000 0.5000

---

(9)
Compound: Pm2Ir
Source: the Open Quantum Materials Database
Functional: PBE
Structure: relaxed

Summary:
Energy above the most stable polymorph in this dataset: 0 meV per atom

Cell: 4.9079 4.9079 4.9079 Å, 60.00 60.00 60.00°
Positions (direct):
Ir1 0.0000 0.0000 0.0000
Pm1 0.2500 0.2500 0.2500
Pm2 0.7500 0.7500 0.7500

---

(10)
Compound: Pm5Ir2
Source: the Open Quantum Materials Database
Functional: PBE
Structure: relaxed

Summary:
DFT total energy: -90.5 eV per cell

Cell: 8.8939 8.8939 7.2894 Å, 96.49 96.49 43.83°
Positions (direct):
Ir1 0.8206 0.4029 0.0754
Ir2 0.5971 0.1794 0.4246
Ir3 0.4029 0.8206 0.5754
Ir4 0.1794 0.5971 0.9246
Pm1 0.7967 0.0175 0.0808
Pm2 0.2113 0.3527 0.1848
Pm3 0.4307 0.5693 0.2500
Pm4 0.6473 0.7887 0.3152
Pm5 0.9825 0.2033 0.4192
Pm6 0.0175 0.7967 0.5808
Pm7 0.3527 0.2113 0.6848
Pm8 0.5693 0.4307 0.7500
Pm9 0.7887 0.6473 0.8152
Pm10 0.2033 0.9825 0.9192

---

(11)
Compound: PmIr2
Source: the Open Quantum Materials Database
Functional: PBE
Structure: relaxed

Summary:
Energy above the most stable polymorph in this dataset: 3418 meV per atom

Cell: 8.7909 8.7909 8.7909 Å, 60.00 60.00 60.00°
Site moments in Bohr magnetons follow the coordinates.
Positions (direct):
Ir1 0.3750 0.8750 0.3750  1.48
Ir2 0.3750 0.3750 0.3750  1.41
Ir3 0.8750 0.3750 0.3750  1.10
Ir4 0.3750 0.3750 0.8750  1.46
Pm1 0.2500 0.2500 0.2500  -0.09
Pm2 0.5000 0.5000 0.5000  -0.09

---

(12)
Compound: PmIr2
Source: the Open Quantum Materials Database
Functional: PBE
Structure: relaxed

Summary:
Energy above the most stable polymorph in this dataset: 0 meV per atom

Cell: 5.4103 5.4103 5.4103 Å, 60.00 60.00 60.00°
Positions (direct):
Ir1 0.6250 0.6250 0.1250
Ir2 0.6250 0.1250 0.6250
Ir3 0.1250 0.6250 0.6250
Ir4 0.6250 0.6250 0.6250
Pm1 0.0000 0.0000 0.0000
Pm2 0.2500 0.2500 0.2500

---

(13)
Compound: PmIr2
Source: the Open Quantum Materials Database
Functional: PBE
Structure: relaxed

Summary:
Energy above the most stable polymorph in this dataset: 1360 meV per atom

Cell: 4.5516 4.5516 4.5516 Å, 60.00 60.00 60.00°
Positions (direct):
Ir1 0.2500 0.2500 0.2500
Ir2 0.7500 0.7500 0.7500
Pm1 0.0000 0.0000 0.0000

---

(14)
Compound: Pm2Ir
Source: the Open Quantum Materials Database
Functional: PBE
Structure: relaxed

Summary:
Energy above the most stable polymorph in this dataset: 1342 meV per atom

Cell: 5.9068 5.9068 5.9068 Å, 60.00 60.00 60.00°
Site moments in Bohr magnetons follow the coordinates.
Positions (direct):
Ir1 0.0000 0.0000 0.0000  0.01
Ir2 0.2500 0.2500 0.2500  0.01
Pm1 0.6250 0.6250 0.1250  0.05
Pm2 0.6250 0.1250 0.6250  0.06
Pm3 0.1250 0.6250 0.6250  0.03
Pm4 0.6250 0.6250 0.6250  0.04

---

(15)
Compound: Pm2Ir
Source: the Open Quantum Materials Database
Functional: PBE
Structure: relaxed

Summary:
Energy above the most stable polymorph in this dataset: 1300 meV per atom

Cell: 8.5861 8.5861 8.5861 Å, 60.00 60.00 60.00°
Positions (direct):
Ir1 0.2500 0.2500 0.2500
Ir2 0.5000 0.5000 0.5000
Pm1 0.3750 0.3750 0.3750
Pm2 0.8750 0.3750 0.3750
Pm3 0.3750 0.8750 0.3750
Pm4 0.3750 0.3750 0.8750

---

(16)
Compound: PmPrIr4
Source: the Open Quantum Materials Database
Functional: PBE
Structure: relaxed

Summary:
Energy above the most stable polymorph in this dataset: 0 meV per atom

Cell: 5.4297 5.4297 5.4297 Å, 60.00 60.00 60.00°
Positions (direct):
Ir1 0.6251 0.6251 0.1248
Ir2 0.6251 0.1248 0.6251
Ir3 0.1248 0.6251 0.6251
Ir4 0.6251 0.6251 0.6251
Pm1 0.0000 0.0000 0.0000
Pr1 0.2500 0.2500 0.2500

---

(17)
Compound: PmPrIr4
Source: the Open Quantum Materials Database
Functional: PBE
Structure: relaxed

Summary:
Energy above the most stable polymorph in this dataset: 1916 meV per atom

Cell: 5.3751 5.3751 5.4649 Å, 90.00 90.00 90.45°
Site moments in Bohr magnetons follow the coordinates.
Positions (direct):
Ir1 0.1586 0.1586 0.0000  0.86
Ir2 0.8414 0.8414 0.0000  0.86
Ir3 0.6562 0.3438 0.5000  0.88
Ir4 0.3438 0.6562 0.5000  0.88
Pm1 0.5000 0.5000 0.0000  -0.04
Pr1 0.0000 0.0000 0.5000  -0.04

---

(18)
Compound: Pm2PrIr2
Source: the Open Quantum Materials Database
Functional: PBE
Structure: relaxed

Summary:
DFT total energy: -34.9 eV per cell

Cell: 4.8254 4.8254 6.4248 Å, 90.00 90.00 120.00°
Positions (direct):
Ir1 0.3333 0.6667 0.1826
Ir2 0.6667 0.3333 0.8174
Pm1 0.6667 0.3333 0.3393
Pm2 0.3333 0.6667 0.6607
Pr1 0.0000 0.0000 0.0000

---

(19)
Compound: PmIrPt
Source: the Open Quantum Materials Database
Functional: PBE
Structure: relaxed

Summary:
Energy above the most stable polymorph in this dataset: 348 meV per atom

Cell: 4.6174 4.6174 4.6174 Å, 60.00 60.00 60.00°
Positions (direct):
Ir1 0.2500 0.2500 0.2500
Pm1 0.0000 0.0000 0.0000
Pt1 0.7500 0.7500 0.7500

---

(20)
Compound: PmIrPt
Source: the Open Quantum Materials Database
Functional: PBE
Structure: relaxed

Summary:
Energy above the most stable polymorph in this dataset: 0 meV per atom

Cell: 4.5920 4.5920 4.5920 Å, 60.00 60.00 60.00°
Positions (direct):
Ir1 0.0000 0.0000 0.0000
Pm1 0.7500 0.7500 0.7500
Pt1 0.2500 0.2500 0.2500

---

Looking at calculated volume for the records above, in order, we have 22.0 20.8 20.8 17.6 14.9 14.7 14.2 16.6 27.9 28.3 80.1 18.7 22.2 24.3 74.6 18.9 26.3 25.9 23.2 22.8 A^3/atom.